A relaxed Li3Cr2P3O12 crystal. Source: Alexandria via LeMat-Bulk, functional GGA+U.

```
Li3Cr2P3O12
1.0
4.205 2.428 7.506
-4.205 2.428 7.506
0.000 -4.855 7.506
Li Cr P O
6 4 6 24
direct
0.168 0.422 0.764
0.236 0.832 0.578
0.422 0.764 0.168
0.578 0.236 0.832
0.764 0.168 0.422
0.832 0.578 0.236
0.151 0.151 0.151
0.356 0.356 0.356
0.644 0.644 0.644
0.849 0.849 0.849
0.038 0.750 0.460
0.250 0.540 0.962
0.460 0.038 0.750
0.540 0.962 0.250
0.750 0.460 0.038
0.962 0.250 0.540
0.006 0.966 0.331
0.034 0.669 0.994
0.039 0.712 0.657
0.113 0.306 0.504
0.246 0.623 0.367
0.288 0.343 0.961
0.306 0.504 0.113
0.331 0.006 0.966
0.343 0.961 0.288
0.367 0.246 0.623
0.377 0.633 0.754
0.496 0.887 0.694
0.504 0.113 0.306
0.623 0.367 0.246
0.633 0.754 0.377
0.657 0.039 0.712
0.669 0.994 0.034
0.694 0.496 0.887
0.712 0.657 0.039
0.754 0.377 0.633
0.887 0.694 0.496
0.961 0.288 0.343
0.966 0.331 0.006
0.994 0.034 0.669
```

Results
* size of the total moment: 0.30 μB per atom
* E_tot: -283.1 eV/cell
* SG: R-3